Record 1
## MgAlAs2Se (PBE-GGA)

Data for crystalline MgAlAs2Se at its relaxed geometry.

Values from the calculation:
SG   P4/mmm (123)
Distance to the lowest polymorph of the same formula   353.9 meV/atom
E_form (uncorrected)   0.58 eV/atom

Cell: 5.010 5.010 5.063 Å, 90.00 90.00 90.00°
Sites, in units of the cell vectors:
Mg1 0.000 0.000 0.000
Al1 0.500 0.500 0.500
As1 0.000 0.500 0.000
As2 0.500 0.000 0.000
Se1 0.000 0.000 0.500

---

Record 2
## MgAlAsSe2 (PBE-GGA)

Data for crystalline MgAlAsSe2 at its relaxed geometry.

Values from the calculation:
SG   P4/mmm (123)
Distance to the lowest polymorph of the same formula   350.5 meV/atom
E_form (uncorrected)   0.38 eV/atom

Cell: 5.084 5.084 5.010 Å, 90.00 90.00 90.00°
Sites, in units of the cell vectors:
Mg1 0.000 0.000 0.000
Al1 0.500 0.500 0.500
As1 0.000 0.000 0.500
Se1 0.000 0.500 0.000
Se2 0.500 0.000 0.000

---

Record 3
## MgAlAsSe2 (PBE-GGA)

Data for crystalline MgAlAsSe2 at its relaxed geometry.

Values from the calculation:
SG   P4/mmm (123)
Distance to the lowest polymorph of the same formula   0.0 meV/atom
E_form (uncorrected)   0.03 eV/atom

Cell: 4.958 4.958 4.830 Å, 90.00 90.00 90.00°
Sites, in units of the cell vectors:
Mg1 0.000 0.000 0.000
Al1 0.500 0.500 0.500
As1 0.500 0.500 0.000
Se1 0.000 0.500 0.500
Se2 0.500 0.000 0.500

---

Record 4
## MgAlAs2Se (PBE-GGA)

Data for crystalline MgAlAs2Se at its relaxed geometry.

Values from the calculation:
SG   P4/mmm (123)
Distance to the lowest polymorph of the same formula   0.0 meV/atom
E_form (uncorrected)   0.22 eV/atom

Cell: 4.849 4.849 5.007 Å, 90.00 90.00 90.00°
Sites, in units of the cell vectors:
Mg1 0.000 0.000 0.000
Al1 0.500 0.500 0.500
As1 0.000 0.500 0.500
As2 0.500 0.000 0.500
Se1 0.500 0.500 0.000

---

Record 5
## Mg2AlSnAs (PBE-GGA)

Data for crystalline Mg2AlSnAs at its relaxed geometry.

Values from the calculation:
SG   P4/mmm (123)
E_form   1.995 eV per formula unit

Cell: 5.187 5.187 4.897 Å, 90.00 90.00 90.00°
Sites, in units of the cell vectors:
Mg1 0.000 0.500 0.000
Mg2 0.500 0.000 0.000
Al1 0.000 0.000 0.000
Sn1 0.500 0.500 0.500
As1 0.000 0.000 0.500

---

Record 6
## MnAl2As (PBE-GGA)

Data for crystalline MnAl2As at its relaxed geometry.

Values from the calculation:
SG   P4/mmm (123)
E_form   -0.193 eV per formula unit

Cell: 2.798 2.798 7.899 Å, 90.00 90.00 90.00°
Sites, in units of the cell vectors:
Mn1 0.000 0.000 0.000
Al1 0.500 0.500 0.207
Al2 0.500 0.500 0.793
As1 0.000 0.000 0.500

---

| no. | total magnetic moment (μB/atom) | V (Å³ per atom) |
| --- | --- | --- |
| 1 | 0.00 | 25.4 |
| 2 | 0.00 | 25.9 |
| 3 | 0.00 | 23.8 |
| 4 | 0.00 | 23.5 |
| 5 | 0.00 | 26.4 |
| 6 | 0.46 | 15.5 |